1.
# Fe2TcPt | Alexandria via LeMat-Bulk | GGA-PBE | optimized geometry
data_Fe2TcPt
_chemical_formula_sum 'Fe2 Tc1 Pt1'
_symmetry_space_group_name_H-M 'P 1'
_symmetry_Int_Tables_number 1
_symmetry_space_group_name_Hall 'P 1'
_cell_length_a 4.565
_cell_length_b 4.565
_cell_length_c 4.562
_cell_angle_alpha 130.89
_cell_angle_beta 130.89
_cell_angle_gamma 72.03
loop_
_atom_site_label
_atom_site_type_symbol
_atom_site_fract_x
_atom_site_fract_y
_atom_site_fract_z
Fe1 Fe 0.500 0.500 0.000
Fe2 Fe 0.000 0.000 0.000
Tc1 Tc 0.250 0.750 0.500
Pt1 Pt 0.750 0.250 0.500
# ΔE to the lowest computed polymorph ... 25 meV/atom
# M_tot ... 3.5 μB/f.u.
# DFT formation energy ... -0.025 eV per atom
# Total DFT energy (no corrections) ... -8.358 eV per atom
# Crystal system ... orthorhombic

=====

2.
# As2RuWBr | Alexandria via LeMat-Bulk | GGA-PBE | optimized geometry
data_As2RuWBr
_chemical_formula_sum 'As2 Ru1 W1 Br1'
_symmetry_space_group_name_H-M 'P 1'
_symmetry_Int_Tables_number 1
_symmetry_space_group_name_Hall 'P 1'
_cell_length_a 4.856
_cell_length_b 4.856
_cell_length_c 5.136
_cell_angle_alpha 90.00
_cell_angle_beta 90.00
_cell_angle_gamma 90.00
loop_
_atom_site_label
_atom_site_type_symbol
_atom_site_fract_x
_atom_site_fract_y
_atom_site_fract_z
As1 As 0.000 0.500 0.000
As2 As 0.500 0.000 0.000
Br1 Br 0.000 0.000 0.500
W1 W 0.000 0.000 0.000
Ru1 Ru 0.500 0.500 0.500
# ΔE to the lowest computed polymorph ... 0 meV/atom
# M_tot ... 2.9 μB/f.u.
# Formation energy from raw total energies ... 1.2510 eV per atom
# Total DFT energy (no corrections) ... -5.389 eV per atom
# Crystal system ... tetragonal

=====

3.
# Li2BH5 | Alexandria via LeMat-Bulk | GGA-PBE | optimized geometry
data_Li2BH5
_chemical_formula_sum 'Li2 B1 H5'
_symmetry_space_group_name_H-M 'P 1'
_symmetry_Int_Tables_number 1
_symmetry_space_group_name_Hall 'P 1'
_cell_length_a 4.145
_cell_length_b 4.145
_cell_length_c 4.145
_cell_angle_alpha 94.67
_cell_angle_beta 117.34
_cell_angle_gamma 117.34
loop_
_atom_site_label
_atom_site_type_symbol
_atom_site_fract_x
_atom_site_fract_y
_atom_site_fract_z
B1 B 0.000 0.028 0.028
Li1 Li 0.500 0.245 0.745
Li2 Li 0.500 0.745 0.245
H1 H 0.550 0.764 0.764
H2 H 0.000 0.247 0.247
H3 H 0.000 0.214 0.764
H4 H 0.450 0.214 0.214
H5 H 0.000 0.764 0.214
# M_tot ... 0.0 μB/f.u.
# Total DFT energy (no corrections) ... -3.453 eV per atom
# Crystal system ... tetragonal